No. 1
SmLuAl PBE relaxed; crystal system = tetragonal; total DFT energy (no corrections) = -4.564 eV/atom; Fermi-level density of states = 0.68 states/eV per atom; ΔE_f = -0.24 eV/atom
1.0
-1.725 1.725 6.681
1.725 -1.725 6.681
1.725 1.725 -6.681
Sm Lu Al
1 1 1
direct
0.000 0.000 0.000
0.703 0.703 0.000
0.345 0.345 0.000

No. 2
AlBiPt2Rh PBE relaxed; crystal system = tetragonal; total DFT energy (no corrections) = -4.919 eV/atom; Fermi-level density of states = 1.20 states/eV per atom; ΔE_f = 0.49 eV/atom
1.0
4.997 0.000 0.000
0.000 4.997 0.000
0.000 0.000 4.423
Al Bi Pt Rh
1 1 2 1
direct
0.000 0.000 0.000
0.500 0.500 0.000
0.000 0.500 0.500
0.500 0.000 0.500
0.000 0.000 0.500

No. 3
Ca2PRu PBE relaxed; crystal system = orthorhombic; total DFT energy (no corrections) = -4.792 eV/atom; Fermi-level density of states = 0.75 states/eV per atom; ΔE_f = -0.12 eV/atom
1.0
2.908 -3.947 0.000
2.908 3.947 0.000
0.000 0.000 3.440
Ca P Ru
2 1 1
direct
0.000 0.500 0.000
0.500 0.000 0.000
0.000 0.000 0.500
0.500 0.500 0.500

What is the total DFT energy (no corrections) in the second record?
-4.919 eV/atom